Computed, not measured: a geometry-optimized Mn2Re4O structure at the PBE+U level of DFT. Values from VASP.

Quantum ESPRESSO input file:
```
&SYSTEM
  ibrav = 0, nat = 7, ntyp = 3
/
ATOMIC_SPECIES
Re 186.21 Re.upf
Mn 54.94 Mn.upf
O 16.00 O.upf
CELL_PARAMETERS angstrom
-1.4739 -3.5473 1.1131
0.8203 -1.4781 -3.6245
5.6990 -4.3531 0.8585
ATOMIC_POSITIONS crystal
Re 0.5000 0.0000 0.0000
Mn 0.3572 0.3572 0.2856
Mn 0.6428 0.6428 0.7144
Re 0.0000 0.5000 0.0000
O 0.0000 0.0000 0.0000
Re 0.8370 0.8370 0.3259
Re 0.1630 0.1630 0.6741
```

Output
Energy = -9.00 eV/atom
Magnetization = 6.42 μB/f.u.
Space group = I4/mmm, No. 139